Record 1
! CaCoIr2 | Alexandria via LeMat-Bulk | PBE-GGA | optimized geometry; values from VASP
&SYSTEM
  ibrav = 0, nat = 4, ntyp = 3
/
ATOMIC_SPECIES
Ca 40.08 Ca.upf
Ir 192.22 Ir.upf
Co 58.93 Co.upf
ATOMIC_POSITIONS crystal
Ca 0.000 0.546 0.532
Ir 0.000 0.804 0.018
Ir 0.500 0.226 0.173
Co 0.500 0.924 0.776
CELL_PARAMETERS angstrom
-0.985 2.470 3.428
2.242 -0.991 1.358
4.095 3.483 -1.334
! Space-group type: Amm2
! Formation enthalpy at 0 K: 0.13 eV per atom


Record 2
! Ca2CoIr | Alexandria via LeMat-Bulk | PBE-GGA | optimized geometry; values from VASP
&SYSTEM
  ibrav = 0, nat = 4, ntyp = 3
/
ATOMIC_SPECIES
Ca 40.08 Ca.upf
Ir 192.22 Ir.upf
Co 58.93 Co.upf
ATOMIC_POSITIONS crystal
Ca 0.000 0.000 0.000
Ca 0.500 0.500 0.000
Ir 0.000 0.500 0.500
Co 0.500 0.000 0.500
CELL_PARAMETERS angstrom
-4.752 -0.933 -0.147
0.658 -3.813 2.915
-0.480 2.012 2.741
! Space-group type: P4/mmm
! Formation enthalpy at 0 K: 0.20 eV per atom


Record 3
! CaCo2Ir2 | Alexandria via LeMat-Bulk | PBE-GGA | optimized geometry; values from VASP
&SYSTEM
  ibrav = 0, nat = 10, ntyp = 3
/
ATOMIC_SPECIES
Ca 40.08 Ca.upf
Ir 192.22 Ir.upf
Co 58.93 Co.upf
ATOMIC_POSITIONS crystal
Ca 0.000 0.000 0.000
Ca 0.500 0.500 0.000
Ir 0.373 0.873 0.000
Ir 0.873 0.627 0.000
Ir 0.627 0.127 0.000
Ir 0.127 0.373 0.000
Co 0.170 0.670 0.500
Co 0.670 0.830 0.500
Co 0.830 0.330 0.500
Co 0.330 0.170 0.500
CELL_PARAMETERS angstrom
-2.530 -3.605 -6.025
-2.972 -5.252 4.391
-2.314 1.415 0.126
! Space-group type: P4/mbm
! Formation enthalpy at 0 K: 0.04 eV per atom


Record 4
! Ca2CoIr | Alexandria via LeMat-Bulk | PBE-GGA | optimized geometry; values from VASP
&SYSTEM
  ibrav = 0, nat = 4, ntyp = 3
/
ATOMIC_SPECIES
Ca 40.08 Ca.upf
Ir 192.22 Ir.upf
Co 58.93 Co.upf
ATOMIC_POSITIONS crystal
Ca 0.000 0.000 0.919
Ca 0.500 0.500 0.328
Ir 0.500 0.500 0.673
Co 0.000 0.000 0.580
CELL_PARAMETERS angstrom
3.335 0.000 0.000
0.000 3.381 0.000
0.000 0.000 8.251
! Space-group type: Pmm2
! Formation enthalpy at 0 K: 0.07 eV per atom


Record 5
! CaCoIr2 | Alexandria via LeMat-Bulk | PBE-GGA | optimized geometry; values from VASP
&SYSTEM
  ibrav = 0, nat = 4, ntyp = 3
/
ATOMIC_SPECIES
Ca 40.08 Ca.upf
Ir 192.22 Ir.upf
Co 58.93 Co.upf
ATOMIC_POSITIONS crystal
Ca 0.000 0.000 0.507
Ir 0.000 0.000 0.986
Ir 0.500 0.500 0.215
Co 0.500 0.500 0.792
CELL_PARAMETERS angstrom
-2.450 -1.414 0.377
0.480 -0.082 2.812
-3.823 6.855 0.853
! Space-group type: P4mm
! Formation enthalpy at 0 K: 0.17 eV per atom


Record 6
! Ca2MnCoIr | Alexandria via LeMat-Bulk | PBE-GGA | optimized geometry; values from VASP
&SYSTEM
  ibrav = 0, nat = 5, ntyp = 4
/
ATOMIC_SPECIES
Ca 40.08 Ca.upf
Ir 192.22 Ir.upf
Co 58.93 Co.upf
Mn 54.94 Mn.upf
ATOMIC_POSITIONS crystal
Ca 0.000 0.000 0.500
Ca 0.500 0.000 0.000
Ir 0.500 0.500 0.500
Co 0.000 0.500 0.000
Mn 0.000 0.000 0.000
CELL_PARAMETERS angstrom
-4.673 -1.547 1.985
1.646 -3.530 1.124
1.300 2.102 4.697
! Space-group type: P4/mmm
! Formation enthalpy at 0 K: 0.96 eV per atom


Record 7
! CaCo2NiIr | Alexandria via LeMat-Bulk | PBE-GGA | optimized geometry; values from VASP
&SYSTEM
  ibrav = 0, nat = 5, ntyp = 4
/
ATOMIC_SPECIES
Ni 58.69 Ni.upf
Ca 40.08 Ca.upf
Ir 192.22 Ir.upf
Co 58.93 Co.upf
ATOMIC_POSITIONS crystal
Ni 0.000 0.000 0.000
Ca 0.500 0.500 0.500
Ir 0.000 0.500 0.000
Co 0.000 0.000 0.500
Co 0.500 0.000 0.000
CELL_PARAMETERS angstrom
4.371 0.000 0.000
0.000 4.652 0.000
0.000 0.000 4.371
! Space-group type: P4/mmm
! Formation enthalpy at 0 K: 0.62 eV per atom